# 1
K4La3ZnO8, relaxed, DFT PBE-GGA; E_form (uncorrected) = -2.19 eV per atom
1.0
6.506 -3.534 0.000
6.506 3.534 0.000
-3.851 0.000 6.334
K La Zn O
4 3 1 8
Cartesian
0.000 0.000 0.000
3.253 1.767 0.000
3.253 -1.767 0.000
6.506 0.000 0.000
-1.925 0.000 3.167
1.327 1.767 3.167
1.327 -1.767 3.167
4.580 0.000 3.167
0.198 0.000 4.379
1.921 0.000 1.707
3.622 1.539 4.246
5.538 1.539 2.088
3.622 -1.539 4.246
5.538 -1.539 2.088
7.239 0.000 4.627
8.962 0.000 1.955

***

# 2
K2LaZn2O4, relaxed, DFT PBE-GGA; E_form (uncorrected) = -1.70 eV per atom
1.0
7.369 -1.764 0.000
7.369 1.764 0.000
-1.313 0.000 6.509
K La Zn O
2 1 2 4
Cartesian
1.931 0.000 0.511
11.493 0.000 5.998
-0.656 0.000 3.255
4.060 0.000 2.969
9.365 0.000 3.541
1.550 0.000 4.523
5.540 0.000 4.399
7.885 0.000 2.110
11.874 0.000 1.986

***

# 3
K3La3ZrO8, relaxed, DFT PBE-GGA; E_form (uncorrected) = -2.81 eV per atom
1.0
3.617 2.088 6.325
-3.617 2.088 6.325
0.000 -4.177 6.325
K La Zr O
3 3 1 8
Cartesian
-1.809 -1.044 6.325
-1.809 1.044 12.649
0.000 2.088 6.325
-3.617 0.000 9.487
-1.809 1.044 3.162
1.809 1.044 3.162
0.000 0.000 9.487
0.000 0.000 4.359
-1.619 -0.935 10.595
0.000 -1.869 8.379
-1.619 0.935 8.379
1.619 -0.935 10.595
0.000 1.869 10.595
1.619 0.935 8.379
0.000 0.000 14.615

***

# 4
K3La2ZrO6, relaxed, DFT PBE-GGA; E_form (uncorrected) = -2.54 eV per atom
1.0
3.110 -5.393 0.000
3.110 5.393 0.000
-2.056 0.000 6.308
K La Zr O
3 2 1 6
Cartesian
0.000 0.000 0.000
3.110 1.740 0.000
3.110 -1.740 0.000
2.082 3.591 3.154
2.082 -3.591 3.154
2.082 0.000 3.154
1.141 1.618 1.993
0.216 0.000 4.316
1.141 -1.618 1.993
3.023 1.618 4.315
3.948 0.000 1.991
3.023 -1.618 4.315

***

# 5
K4La3ZrO8, relaxed, DFT PBE-GGA; E_form (uncorrected) = -2.56 eV per atom
1.0
3.612 2.085 6.302
-3.612 2.085 6.302
0.000 -4.170 6.302
K La Zr O
4 3 1 8
Cartesian
0.000 0.000 0.000
-1.806 -1.043 6.302
-1.806 1.043 12.603
0.000 2.085 6.302
-3.612 0.000 9.452
-1.806 1.043 3.151
1.806 1.043 3.151
0.000 0.000 9.452
0.000 0.000 4.438
-1.619 -0.934 10.621
0.000 -1.869 8.284
-1.619 0.934 8.284
1.619 -0.934 10.621
0.000 1.869 10.621
1.619 0.934 8.284
0.000 0.000 14.467

***

# 6
KLaZr4O12, relaxed, DFT PBE-GGA; E_form (uncorrected) = -2.60 eV per atom
1.0
8.382 0.000 0.000
0.000 4.147 4.150
0.000 -4.147 4.150
K La Zr O
1 1 4 12
Cartesian
0.000 0.000 0.000
4.191 0.000 4.028
2.045 -2.037 6.147
2.045 2.037 6.147
6.337 -2.037 6.147
6.337 2.037 6.147
0.000 -1.915 6.195
0.000 1.915 6.195
2.008 0.000 1.916
2.378 -1.934 4.064
2.378 1.934 4.064
2.548 0.000 6.021
4.191 -1.659 2.141
4.191 1.659 2.141
5.834 0.000 6.021
6.004 -1.934 4.064
6.004 1.934 4.064
6.374 0.000 1.916